[1]
Fe3Os SCAN single point on PBEsol structure; E_tot = -31.54 eV per atom; DOS at the Fermi energy = 3.17 states/eV/cell; ΔE_f = 0.02 eV per atom; space-group type = P4/mmm
1.0
-2.210 0.898 -1.431
-1.452 -2.215 0.852
-1.865 3.072 4.808
Os Fe
1 3
direct
0.500 0.500 0.500
0.000 0.000 0.768
0.500 0.500 0.000
0.000 0.000 0.232

=====

[2]
Fe3Os SCAN single point on PBEsol structure; E_tot = -31.30 eV per atom; DOS at the Fermi energy = 4.08 states/eV/cell; ΔE_f = 0.27 eV per atom; space-group type = Imm2
1.0
-1.102 0.928 2.104
3.476 -1.160 2.332
0.465 3.662 -2.917
Os Fe
1 3
direct
0.000 0.663 0.000
0.247 0.248 0.493
0.753 0.755 0.507
0.500 0.167 0.000

=====

[3]
FeOs2 SCAN single point on PBEsol structure; ΔE to the lowest computed polymorph = 0.0614 eV per atom; E_tot = -53.76 eV per atom; DOS at the Fermi energy = 5.21 states/eV/cell; ΔE_f = 0.21 eV per atom; space-group type = Cmcm
1.0
-0.986 -0.684 2.393
-2.047 -3.224 -1.765
5.893 -3.675 -0.120
Fe Os
2 4
direct
0.725 0.750 0.450
0.275 0.250 0.550
0.381 0.750 0.762
0.059 0.750 0.119
0.941 0.250 0.881
0.619 0.250 0.238

=====

[4]
Fe2Os3 SCAN single point on PBEsol structure; E_tot = -49.88 eV per atom; DOS at the Fermi energy = 3.94 states/eV/cell; ΔE_f = 0.50 eV per atom; space-group type = P-3m1
1.0
3.987 0.000 0.000
-1.993 3.453 0.000
0.000 0.000 5.010
Fe Os
2 3
direct
0.333 0.667 0.835
0.667 0.333 0.165
0.000 0.000 0.000
0.333 0.667 0.354
0.667 0.333 0.646

=====

[5]
FeOs2 SCAN single point on PBEsol structure; ΔE to the lowest computed polymorph = 0.0334 eV per atom; E_tot = -53.79 eV per atom; DOS at the Fermi energy = 5.03 states/eV/cell; ΔE_f = 0.18 eV per atom; space-group type = C2/m
1.0
-0.810 1.369 2.146
-3.460 -3.437 -0.775
4.207 -2.941 3.464
Fe Os
2 4
direct
0.971 0.941 0.191
0.029 0.059 0.809
0.637 0.273 0.531
0.312 0.624 0.865
0.688 0.376 0.135
0.363 0.727 0.469

=====

[6]
Fe2Os SCAN single point on PBEsol structure; E_tot = -35.70 eV per atom; DOS at the Fermi energy = 6.21 states/eV/cell; ΔE_f = 0.35 eV per atom; space-group type = C2/m
1.0
-2.563 -0.003 -0.326
1.756 -2.636 -3.540
-0.569 -3.869 4.502
Fe Os
4 2
direct
0.971 0.942 0.703
0.636 0.271 0.029
0.364 0.729 0.971
0.029 0.058 0.297
0.309 0.618 0.353
0.691 0.382 0.647

=====

[7]
FeOs5 SCAN single point on PBEsol structure; E_tot = -62.81 eV per atom; DOS at the Fermi energy = 4.42 states/eV/cell; ΔE_f = 0.11 eV per atom; space-group type = Cm
1.0
-1.135 -2.168 -1.154
4.663 -1.427 1.267
-3.300 -1.070 5.257
Fe Os
1 5
direct
0.000 0.999 0.000
0.665 0.330 0.330
0.335 0.671 0.670
0.390 0.781 0.272
0.056 0.111 0.616
0.721 0.441 0.946

=====

[8]
Fe3Os SCAN single point on PBEsol structure; E_tot = -31.36 eV per atom; DOS at the Fermi energy = 2.27 states/eV/cell; ΔE_f = 0.21 eV per atom; space-group type = Pmm2
1.0
-1.076 0.650 -2.216
-2.776 -2.769 0.535
-2.502 2.908 2.068
Os Fe
1 3
direct
0.000 0.500 0.331
0.000 0.000 0.985
0.500 0.000 0.514
0.500 0.500 0.837

=====

[9]
FeOs2 SCAN single point on PBEsol structure; ΔE to the lowest computed polymorph = 0.0000 eV per atom; E_tot = -53.82 eV per atom; DOS at the Fermi energy = 4.93 states/eV/cell; ΔE_f = 0.14 eV per atom; space-group type = Cm
1.0
-1.035 -1.077 2.216
-0.940 -3.236 -3.623
5.670 -1.656 1.843
Os Fe
4 2
direct
0.334 0.668 0.668
0.391 0.782 0.272
0.058 0.115 0.607
0.718 0.435 0.953
0.999 0.998 0.999
0.667 0.335 0.334

=====

[10]
FeOs5 SCAN single point on PBEsol structure; E_tot = -62.82 eV per atom; DOS at the Fermi energy = 4.22 states/eV/cell; ΔE_f = 0.10 eV per atom; space-group type = Amm2
1.0
-0.418 0.475 2.629
-4.003 -1.378 -0.387
2.299 -6.734 0.192
Fe Os
1 5
direct
0.999 0.000 0.998
0.337 0.000 0.674
0.664 0.000 0.328
0.447 0.500 0.894
0.778 0.500 0.556
0.108 0.500 0.216

=====

[11]
Fe2Os SCAN single point on PBEsol structure; E_tot = -35.76 eV per atom; DOS at the Fermi energy = 5.62 states/eV/cell; ΔE_f = 0.28 eV per atom; space-group type = Cmcm
1.0
2.577 0.000 0.000
0.000 4.007 0.000
-1.288 0.000 6.570
Fe Os
4 2
direct
0.223 0.250 0.445
0.556 0.250 0.112
0.777 0.750 0.555
0.444 0.750 0.888
0.888 0.250 0.776
0.112 0.750 0.224

=====

[12]
FeOs2 SCAN single point on PBEsol structure; ΔE to the lowest computed polymorph = 0.0238 eV per atom; E_tot = -53.79 eV per atom; DOS at the Fermi energy = 2.47 states/eV/cell; ΔE_f = 0.17 eV per atom; space-group type = P-3m1
1.0
-2.594 -0.388 0.468
1.513 -2.013 -0.869
1.322 -1.598 6.006
Fe Os
1 2
direct
0.000 0.000 0.000
0.667 0.333 0.324
0.333 0.667 0.676